Crystalline RbBe2GeS at its relaxed geometry. Source: the Alexandria database, functional PBE.

a b c (Å): 4.392 5.854 4.392
angles (deg): 90.00 90.00 90.00
Atoms (fractional coordinates):
Be (0.000, 0.000, 0.500)
Be (0.500, 0.000, 0.000)
Ge (0.500, 0.500, 0.500)
S (0.000, 0.000, 0.000)
Rb (0.000, 0.500, 0.000)

formation energy (no corrections) = 796 meV/atom
SG = P4/mmm, No. 123

Crystalline PrTm2Th at its relaxed geometry. Source: the Alexandria database, functional PBE.

a b c (Å): 3.594 3.594 9.929
angles (deg): 90.00 90.00 90.00
Atoms (fractional coordinates):
Pr (0.500, 0.500, 0.500)
Tm (0.000, 0.000, 0.760)
Tm (0.000, 0.000, 0.240)
Th (0.500, 0.500, 0.000)

SG = P4/mmm, No. 123
energy of formation = 10 meV per atom

Crystalline Ca3PmHg12 at its relaxed geometry. Source: the Alexandria database, functional PBE.

a b c (Å): 4.693 4.693 18.714
angles (deg): 90.00 90.00 90.00
Atoms (fractional coordinates):
Ca (0.000, 0.000, 0.252)
Ca (0.000, 0.000, 0.500)
Ca (0.000, 0.000, 0.748)
Pm (0.000, 0.000, 0.000)
Hg (0.500, 0.500, 0.000)
Hg (0.500, 0.500, 0.250)
Hg (0.500, 0.500, 0.500)
Hg (0.500, 0.500, 0.750)
Hg (0.500, 0.000, 0.124)
Hg (0.500, 0.000, 0.375)
Hg (0.500, 0.000, 0.625)
Hg (0.500, 0.000, 0.876)
Hg (0.000, 0.500, 0.124)
Hg (0.000, 0.500, 0.375)
Hg (0.000, 0.500, 0.625)
Hg (0.000, 0.500, 0.876)

SG = P4/mmm, No. 123
energy of formation = -367 meV per atom

Crystalline UNbS6 at its relaxed geometry. Source: the Alexandria database, functional PBE.

a b c (Å): 6.173 6.580 7.165
angles (deg): 58.97 57.97 57.70
Atoms (fractional coordinates):
U (0.500, 0.500, 0.500)
Nb (0.000, 0.000, 0.000)
S (0.070, 0.400, 0.748)
S (0.612, 0.129, 0.891)
S (0.674, 0.174, 0.324)
S (0.388, 0.871, 0.109)
S (0.930, 0.600, 0.252)
S (0.326, 0.826, 0.676)

formation energy (no corrections) = -648 meV/atom
SG = P-1, No. 2

Crystalline HgRu3Se at its relaxed geometry. Source: the Alexandria database, functional PBE.

a b c (Å): 4.547 4.547 4.547
angles (deg): 90.00 90.00 90.00
Atoms (fractional coordinates):
Ru (0.000, 0.500, 0.000)
Ru (0.000, 0.000, 0.500)
Ru (0.500, 0.000, 0.000)
Hg (0.500, 0.500, 0.500)
Se (0.000, 0.000, 0.000)

formation energy (no corrections) = 913 meV/atom
SG = Pm-3m, No. 221

Crystalline La7Sm4Ho at its relaxed geometry. Source: the Alexandria database, functional PBE.

a b c (Å): 7.421 6.446 11.787
angles (deg): 79.51 51.12 89.99
Atoms (fractional coordinates):
La (0.751, 0.500, 0.001)
La (0.249, 0.500, 0.999)
La (0.081, 0.279, 0.668)
La (0.919, 0.721, 0.332)
La (0.332, 0.779, 0.667)
La (0.500, 0.000, 0.000)
La (0.668, 0.221, 0.333)
Sm (0.420, 0.724, 0.329)
Sm (0.580, 0.276, 0.671)
Sm (0.833, 0.776, 0.667)
Sm (0.167, 0.224, 0.333)
Ho (0.000, 0.000, 0.000)

SG = P-1, No. 2
energy of formation = 17 meV per atom